Record 1
# PBE-GGA Al2Mo, optimized geometry
# ΔE_f	-0.152	eV per atom
data_Al2Mo
_cell_length_a 4.4053
_cell_length_b 4.4053
_cell_length_c 2.7092
_cell_angle_alpha 90.00
_cell_angle_beta 90.00
_cell_angle_gamma 120.00
_symmetry_space_group_name_H-M 'P -3 m 1'
_symmetry_Int_Tables_number 164
_symmetry_space_group_name_Hall '-P 3 2"'
loop_
_atom_site_label
_atom_site_type_symbol
_atom_site_fract_x
_atom_site_fract_y
_atom_site_fract_z
Al1 Al 0.3333 0.6667 0.4759
Mo1 Mo 0.0000 0.0000 0.0000

***

Record 2
# PBE-GGA Y2ScTi2Rh5, optimized geometry
# ΔE_f	-0.723	eV per atom
data_Y2ScTi2Rh5
_cell_length_a 10.0655
_cell_length_b 10.0655
_cell_length_c 3.5759
_cell_angle_alpha 90.00
_cell_angle_beta 90.00
_cell_angle_gamma 90.00
_symmetry_space_group_name_H-M 'P 4/m b m'
_symmetry_Int_Tables_number 127
_symmetry_space_group_name_Hall '-P 4 2ab'
loop_
_atom_site_label
_atom_site_type_symbol
_atom_site_fract_x
_atom_site_fract_y
_atom_site_fract_z
Y1 Y 0.1770 0.3230 0.0000
Sc1 Sc 0.0000 0.0000 0.0000
Ti1 Ti 0.1225 0.6225 0.0000
Rh1 Rh 0.0000 0.5000 0.5000
Rh2 Rh 0.0660 0.7918 0.5000

***

Record 3
# PBE-GGA CuReC2, optimized geometry
# ΔE_f	0.817	eV per atom
data_CuReC2
_cell_length_a 4.6223
_cell_length_b 4.6223
_cell_length_c 9.1894
_cell_angle_alpha 90.00
_cell_angle_beta 90.00
_cell_angle_gamma 90.00
_symmetry_space_group_name_H-M 'I -4 2 d'
_symmetry_Int_Tables_number 122
_symmetry_space_group_name_Hall 'I -4 2bw'
loop_
_atom_site_label
_atom_site_type_symbol
_atom_site_fract_x
_atom_site_fract_y
_atom_site_fract_z
Cu1 Cu 0.0000 0.0000 0.0000
Re1 Re 0.0000 0.0000 0.5000
C1 C 0.2284 0.2500 0.6250

***

Record 4
# PBE-GGA Cs2MgI3Cl, optimized geometry
# E_form (uncorrected)	-1.48	eV/atom
data_Cs2MgI3Cl
_cell_length_a 5.1961
_cell_length_b 5.9854
_cell_length_c 19.4324
_cell_angle_alpha 90.00
_cell_angle_beta 90.00
_cell_angle_gamma 90.00
_symmetry_space_group_name_H-M 'I m m m'
_symmetry_Int_Tables_number 71
_symmetry_space_group_name_Hall '-I 2 2'
loop_
_atom_site_label
_atom_site_type_symbol
_atom_site_fract_x
_atom_site_fract_y
_atom_site_fract_z
Cs1 Cs 0.0000 0.0000 0.1435
Mg1 Mg 0.0000 0.0000 0.5000
I1 I 0.0000 0.0000 0.3478
I2 I 0.0000 0.5000 0.5000
Cl1 Cl 0.0000 0.5000 0.0000

***

Record 5
# PBE-GGA Pm3Tl2Pb, optimized geometry
# ΔE_f	-0.411	eV per atom
data_Pm3Tl2Pb
_cell_length_a 3.9409
_cell_length_b 3.9409
_cell_length_c 11.4146
_cell_angle_alpha 90.00
_cell_angle_beta 90.00
_cell_angle_gamma 90.00
_symmetry_space_group_name_H-M 'P 4/m m m'
_symmetry_Int_Tables_number 123
_symmetry_space_group_name_Hall '-P 4 2'
loop_
_atom_site_label
_atom_site_type_symbol
_atom_site_fract_x
_atom_site_fract_y
_atom_site_fract_z
Pm1 Pm 0.0000 0.0000 0.0000
Pm2 Pm 0.0000 0.0000 0.3311
Tl1 Tl 0.5000 0.5000 0.1622
Pb1 Pb 0.5000 0.5000 0.5000

***

Record 6
# PBE-GGA NdGa6Pt12, optimized geometry
# ΔE_f	-0.570	eV per atom
data_NdGa6Pt12
_cell_length_a 11.6498
_cell_length_b 11.6498
_cell_length_c 8.3831
_cell_angle_alpha 90.00
_cell_angle_beta 90.00
_cell_angle_gamma 120.00
_symmetry_space_group_name_H-M 'R -3 m'
_symmetry_Int_Tables_number 166
_symmetry_space_group_name_Hall '-R 3 2"'
loop_
_atom_site_label
_atom_site_type_symbol
_atom_site_fract_x
_atom_site_fract_y
_atom_site_fract_z
Nd1 Nd 0.0000 0.0000 0.0000
Ga1 Ga 0.0470 0.5235 0.2524
Pt1 Pt 0.0000 0.3770 0.5000
Pt2 Pt 0.0799 0.1598 0.3121

***

Record 7
# PBE-GGA LiSmPuN3, optimized geometry
# E_form (uncorrected)	-0.99	eV/atom
data_LiSmPuN3
_cell_length_a 6.9051
_cell_length_b 3.4686
_cell_length_c 7.0928
_cell_angle_alpha 90.00
_cell_angle_beta 103.85
_cell_angle_gamma 90.00
_symmetry_space_group_name_H-M 'P 1 21/m 1'
_symmetry_Int_Tables_number 11
_symmetry_space_group_name_Hall '-P 2yb'
loop_
_atom_site_label
_atom_site_type_symbol
_atom_site_fract_x
_atom_site_fract_y
_atom_site_fract_z
Li1 Li 0.0833 0.2500 0.0743
Sm1 Sm 0.2806 0.7500 0.8163
Pu1 Pu 0.3253 0.7500 0.3241
N1 N 0.0259 0.7500 0.2096
N2 N 0.3638 0.2500 0.1157
N3 N 0.3673 0.2500 0.5830

***

Record 8
# PBE-GGA Hf3Mg2Sc2, optimized geometry
# ΔE_f	0.039	eV per atom
data_Hf3Mg2Sc2
_cell_length_a 3.1323
_cell_length_b 33.7929
_cell_length_c 3.1159
_cell_angle_alpha 90.00
_cell_angle_beta 90.00
_cell_angle_gamma 90.00
_symmetry_space_group_name_H-M 'C m m m'
_symmetry_Int_Tables_number 65
_symmetry_space_group_name_Hall '-C 2 2'
loop_
_atom_site_label
_atom_site_type_symbol
_atom_site_fract_x
_atom_site_fract_y
_atom_site_fract_z
Hf1 Hf 0.0000 0.0000 0.0000
Hf2 Hf 0.0000 0.4331 0.5000
Mg1 Mg 0.0000 0.2911 0.5000
Sc1 Sc 0.0000 0.1353 0.0000

***

Record 9
# PBE-GGA Dy4Al12Tc, optimized geometry
# ΔE_f	-0.445	eV per atom
data_Dy4Al12Tc
_cell_length_a 8.6694
_cell_length_b 8.6694
_cell_length_c 8.6694
_cell_angle_alpha 90.00
_cell_angle_beta 90.00
_cell_angle_gamma 90.00
_symmetry_space_group_name_H-M 'I m -3 m'
_symmetry_Int_Tables_number 229
_symmetry_space_group_name_Hall '-I 4 2 3'
loop_
_atom_site_label
_atom_site_type_symbol
_atom_site_fract_x
_atom_site_fract_y
_atom_site_fract_z
Dy1 Dy 0.2500 0.2500 0.2500
Al1 Al 0.0000 0.0000 0.2878
Al2 Al 0.0000 0.2500 0.5000
Tc1 Tc 0.0000 0.0000 0.0000

***

Record 10
# PBE-GGA Ac4ZnSi3, optimized geometry
# E_form (uncorrected)	-0.50	eV/atom
data_Ac4ZnSi3
_cell_length_a 4.1927
_cell_length_b 4.6855
_cell_length_c 11.8400
_cell_angle_alpha 90.00
_cell_angle_beta 90.00
_cell_angle_gamma 90.00
_symmetry_space_group_name_H-M 'P m m 2'
_symmetry_Int_Tables_number 25
_symmetry_space_group_name_Hall 'P 2 -2'
loop_
_atom_site_label
_atom_site_type_symbol
_atom_site_fract_x
_atom_site_fract_y
_atom_site_fract_z
Ac1 Ac 0.0000 0.0000 0.0000
Ac2 Ac 0.0000 0.5000 0.4946
Ac3 Ac 0.5000 0.0000 0.7133
Ac4 Ac 0.5000 0.5000 0.2141
Zn1 Zn 0.0000 0.5000 0.7956
Si1 Si 0.0000 0.0000 0.2916
Si2 Si 0.5000 0.0000 0.4170
Si3 Si 0.5000 0.5000 0.9235

***

Record 11
# PBE-GGA Ca2CdSiBr, optimized geometry
# E_form (uncorrected)	0.00	eV/atom
data_Ca2CdSiBr
_cell_length_a 5.5669
_cell_length_b 5.5669
_cell_length_c 5.0490
_cell_angle_alpha 90.00
_cell_angle_beta 90.00
_cell_angle_gamma 90.00
_symmetry_space_group_name_H-M 'P 4/m m m'
_symmetry_Int_Tables_number 123
_symmetry_space_group_name_Hall '-P 4 2'
loop_
_atom_site_label
_atom_site_type_symbol
_atom_site_fract_x
_atom_site_fract_y
_atom_site_fract_z
Ca1 Ca 0.0000 0.5000 0.0000
Cd1 Cd 0.0000 0.0000 0.5000
Si1 Si 0.5000 0.5000 0.5000
Br1 Br 0.5000 0.5000 0.0000

***

Record 12
# PBE-GGA Cs2ErHgCl6, optimized geometry
# E_form (uncorrected)	-1.77	eV/atom
data_Cs2ErHgCl6
_cell_length_a 7.9094
_cell_length_b 11.1582
_cell_length_c 7.9029
_cell_angle_alpha 90.00
_cell_angle_beta 90.00
_cell_angle_gamma 90.00
_symmetry_space_group_name_H-M 'P m m n'
_symmetry_Int_Tables_number 59
loop_
_symmetry_equiv_pos_as_xyz
'x,y,z'
'-x,-y,-z'
'-x+1/2,-y+1/2,z'
'x+1/2,y+1/2,-z'
'x+1/2,-y,-z'
'-x+1/2,y,z'
'-x,y+1/2,-z'
'x,-y+1/2,z'
loop_
_atom_site_label
_atom_site_type_symbol
_atom_site_fract_x
_atom_site_fract_y
_atom_site_fract_z
Cs1 Cs 0.2500 0.0001 0.2498
Er1 Er 0.2500 0.2500 0.7481
Hg1 Hg 0.2500 0.7500 0.7518
Cl1 Cl 0.0162 0.2500 0.5141
Cl2 Cl 0.0162 0.2500 0.9823
Cl3 Cl 0.2500 0.0155 0.7480

***

Which DOS(E_F) belongs to each record? In order, 1.5; 10.3; 3.9; 0.0; 3.3; 19.0; 11.3; 19.1; 21.6; 6.8; 2.1; 9.5 states/eV per cell.
Which size of the total moment belongs to each record? In order, 0.000; 0.000; 0.000; 0.000; 0.000; 0.000; 3.001; 0.001; 0.000; 0.013; 0.000; 0.003 μB/f.u..